VASP calculation (PBE+U) on MnGeO after structural relaxation.

Geometry as CIF:
```
data_MnGeO
_chemical_formula_sum 'Mn4 Ge4 O4'
_space_group_name_H-M_alt 'P 1'
_space_group_IT_number 1
_cell_length_a 5.329
_cell_length_b 3.131
_cell_length_c 13.356
_cell_angle_alpha 90.00
_cell_angle_beta 113.97
_cell_angle_gamma 90.00
loop_
_space_group_symop_operation_xyz
'x,y,z'
loop_
_atom_site_label
_atom_site_type_symbol
_atom_site_fract_x
_atom_site_fract_y
_atom_site_fract_z
_atom_site_occupancy
Mn1 Mn 0.185 0.000 0.373 1
Mn2 Mn 0.185 0.500 0.873 1
Mn3 Mn 0.852 0.000 0.017 1
Mn4 Mn 0.852 0.500 0.517 1
Ge1 Ge 0.654 0.000 0.662 1
Ge2 Ge 0.654 0.500 0.162 1
Ge3 Ge 0.207 0.000 0.704 1
Ge4 Ge 0.207 0.500 0.204 1
O1 O 0.573 0.000 0.508 1
O2 O 0.573 0.500 0.008 1
O3 O 0.992 0.000 0.904 1
O4 O 0.992 0.500 0.404 1
```

Results
- Final energy: -77.196 eV per cell
- Polymorph energy (0 for the lowest one): 78 meV/atom
- Crystal system: monoclinic
- Size of the total moment: 4.55 μB/f.u.